# HoHf2Ga

HoHf2Ga after structural relaxation (PBE-GGA, the Alexandria database).

Computed properties:
- Energy relative to the elements: -0.153 eV/atom
- E above lowest polymorph: 0.00 eV/f.u.
- Crystal system: tetragonal
- DOS at the Fermi energy: 2.867 states/eV/cell
- Calculated total energy: -7.0309 eV per atom

```
4
Lattice="4.4277 0.0000 0.0000 0.0000 4.4179 0.0000 0.0000 0.0000 4.4179" Properties=species:S:1:pos:R:3 pbc="T T T"
Hf 0.0000 2.2089 0.0000
Hf 0.0000 0.0000 2.2089
Ga 2.2138 2.2089 2.2089
Ho 2.2138 0.0000 0.0000
```